[1]
{"formula": "Dy2Ga3Ni4Ir", "functional": "PBE", "state": "relaxed", "lattice": [[3.8903, 0.0000, 0.0000], [0.0000, 3.8903, 0.0000], [0.0000, 0.0000, 10.6966]], "species": ["Dy", "Dy", "Ga", "Ga", "Ga", "Ni", "Ni", "Ni", "Ni", "Ir"], "fractional_positions": [[0.0000, 0.5000, 0.2411], [0.5000, 0.0000, 0.7589], [0.0000, 0.0000, 0.0000], [0.0000, 0.5000, 0.6310], [0.5000, 0.0000, 0.3690], [0.0000, 0.0000, 0.5000], [0.0000, 0.5000, 0.8532], [0.5000, 0.0000, 0.1468], [0.5000, 0.5000, 0.5000], [0.5000, 0.5000, 0.0000]], "formation_energy_ev_per_atom": -0.52}

[2]
{"formula": "MnGa2Br4", "functional": "PBE", "state": "relaxed", "lattice": [[5.3329, 0.0000, 0.0000], [0.0000, 5.3329, 0.0000], [0.0000, 0.0000, 15.3004]], "species": ["Mn", "Mn", "Ga", "Ga", "Ga", "Ga", "Br", "Br", "Br", "Br", "Br", "Br", "Br", "Br"], "fractional_positions": [[0.0000, 0.0000, 0.0000], [0.5000, 0.5000, 0.5000], [0.0000, 0.0000, 0.3612], [0.0000, 0.0000, 0.6388], [0.5000, 0.5000, 0.1388], [0.5000, 0.5000, 0.8612], [0.0000, 0.0000, 0.1733], [0.0000, 0.0000, 0.8267], [0.0000, 0.5000, 0.0000], [0.0000, 0.5000, 0.5000], [0.5000, 0.0000, 0.0000], [0.5000, 0.0000, 0.5000], [0.5000, 0.5000, 0.3267], [0.5000, 0.5000, 0.6733]], "formation_energy_uncorrected_ev_per_fu": -3.925}

| no. | theoretical density (kg/m3) |
| --- | --- |
| 1 | 9859 |
| 2 | 3923 |